1.
# NaDy2Tl9 (PBE-GGA, relaxed)
# energy of formation from the pure elements	-0.16	eV/atom
# total DFT energy (no corrections)	-2.81	eV per atom
# total moment	0.00	μB/cell
data_NaDy2Tl9
_chemical_formula_sum 'Na1 Dy2 Tl9'
_space_group_name_H-M_alt 'P 4/m m m'
_space_group_IT_number 123
_space_group_name_Hall '-P 4 2'
_cell_length_a 4.7908
_cell_length_b 4.7908
_cell_length_c 14.4167
_cell_angle_alpha 90.00
_cell_angle_beta 90.00
_cell_angle_gamma 90.00
loop_
_atom_site_label
_atom_site_fract_x
_atom_site_fract_y
_atom_site_fract_z
_atom_site_occupancy
Na1 0.0000 0.0000 0.0000 1
Dy1 0.0000 0.0000 0.3398 1
Tl1 0.0000 0.5000 0.1695 1
Tl2 0.0000 0.5000 0.5000 1
Tl3 0.5000 0.5000 0.0000 1
Tl4 0.5000 0.5000 0.3335 1

***

2.
# NaDy4Tl5 (PBE-GGA, relaxed)
# energy of formation from the pure elements	-0.29	eV/atom
# total DFT energy (no corrections)	-3.45	eV per atom
# total moment	0.00	μB/cell
data_NaDy4Tl5
_chemical_formula_sum 'Na1 Dy4 Tl5'
_space_group_name_H-M_alt 'P 4/m m m'
_space_group_IT_number 123
_space_group_name_Hall '-P 4 2'
_cell_length_a 3.7691
_cell_length_b 3.7691
_cell_length_c 19.3171
_cell_angle_alpha 90.00
_cell_angle_beta 90.00
_cell_angle_gamma 90.00
loop_
_atom_site_label
_atom_site_fract_x
_atom_site_fract_y
_atom_site_fract_z
_atom_site_occupancy
Na1 0.0000 0.0000 0.0000 1
Dy1 0.0000 0.0000 0.1992 1
Dy2 0.0000 0.0000 0.4001 1
Tl1 0.5000 0.5000 0.1043 1
Tl2 0.5000 0.5000 0.3013 1
Tl3 0.5000 0.5000 0.5000 1

***

3.
# NaDyTl (PBE-GGA, relaxed)
# energy of formation from the pure elements	-0.05	eV/atom
# total DFT energy (no corrections)	-2.81	eV per atom
# total moment	0.00	μB/cell
# ΔE to the lowest computed polymorph	0.29	eV per formula unit
data_NaDyTl
_chemical_formula_sum 'Na1 Dy1 Tl1'
_space_group_name_H-M_alt 'P 3 m 1'
_space_group_IT_number 156
_space_group_name_Hall 'P 3 -2"'
_cell_length_a 5.2980
_cell_length_b 5.2980
_cell_length_c 3.3972
_cell_angle_alpha 90.00
_cell_angle_beta 90.00
_cell_angle_gamma 120.00
loop_
_atom_site_label
_atom_site_fract_x
_atom_site_fract_y
_atom_site_fract_z
_atom_site_occupancy
Na1 0.0000 0.0000 0.0000 1
Dy1 0.3333 0.6667 0.4970 1
Tl1 0.6667 0.3333 0.9939 1

***

4.
# Na2DyTl5 (PBE-GGA, relaxed)
# energy of formation from the pure elements	-0.16	eV/atom
# total DFT energy (no corrections)	-2.54	eV per atom
# total moment	0.00	μB/cell
data_Na2DyTl5
_chemical_formula_sum 'Na4 Dy2 Tl10'
_space_group_name_H-M_alt 'I 4 m m'
_space_group_IT_number 107
_space_group_name_Hall 'I 4 -2'
_cell_length_a 8.0120
_cell_length_b 8.0120
_cell_length_c 6.9290
_cell_angle_alpha 90.00
_cell_angle_beta 90.00
_cell_angle_gamma 90.00
loop_
_atom_site_label
_atom_site_fract_x
_atom_site_fract_y
_atom_site_fract_z
_atom_site_occupancy
Na1 0.0000 0.5000 0.0000 1
Dy1 0.0000 0.0000 0.0004 1
Tl1 0.0000 0.0000 0.4996 1
Tl2 0.2502 0.2502 0.2501 1

***

5.
# NaDyTl (PBE-GGA, relaxed)
# energy of formation from the pure elements	-0.14	eV/atom
# total DFT energy (no corrections)	-2.91	eV per atom
# total moment	0.00	μB/cell
# ΔE to the lowest computed polymorph	0.00	eV per formula unit
data_NaDyTl
_chemical_formula_sum 'Na2 Dy2 Tl2'
_space_group_name_H-M_alt 'P 63/m m c'
_space_group_IT_number 194
_space_group_name_Hall '-P 6c 2c'
_cell_length_a 5.4993
_cell_length_b 5.4993
_cell_length_c 6.3651
_cell_angle_alpha 90.00
_cell_angle_beta 90.00
_cell_angle_gamma 120.00
loop_
_atom_site_label
_atom_site_fract_x
_atom_site_fract_y
_atom_site_fract_z
_atom_site_occupancy
Na1 0.0000 0.0000 0.0000 1
Dy1 0.3333 0.6667 0.2500 1
Tl1 0.3333 0.6667 0.7500 1

***

6.
# NaDyTl6 (PBE-GGA, relaxed)
# energy of formation from the pure elements	-0.12	eV/atom
# total DFT energy (no corrections)	-2.63	eV per atom
# total moment	0.00	μB/cell
data_NaDyTl6
_chemical_formula_sum 'Na1 Dy1 Tl6'
_space_group_name_H-M_alt 'P 4/m m m'
_space_group_IT_number 123
_space_group_name_Hall '-P 4 2'
_cell_length_a 4.8083
_cell_length_b 4.8083
_cell_length_c 9.6555
_cell_angle_alpha 90.00
_cell_angle_beta 90.00
_cell_angle_gamma 90.00
loop_
_atom_site_label
_atom_site_fract_x
_atom_site_fract_y
_atom_site_fract_z
_atom_site_occupancy
Na1 0.0000 0.0000 0.0000 1
Dy1 0.0000 0.0000 0.5000 1
Tl1 0.0000 0.5000 0.2531 1
Tl2 0.5000 0.5000 0.0000 1
Tl3 0.5000 0.5000 0.5000 1

***

Question: What is the formula in the sixth record?
Answer: NaDyTl6

***

Copy entry 1 word for word.
# NaDy2Tl9 (PBE-GGA, relaxed)
# energy of formation from the pure elements	-0.16	eV/atom
# total DFT energy (no corrections)	-2.81	eV per atom
# total moment	0.00	μB/cell
data_NaDy2Tl9
_chemical_formula_sum 'Na1 Dy2 Tl9'
_space_group_name_H-M_alt 'P 4/m m m'
_space_group_IT_number 123
_space_group_name_Hall '-P 4 2'
_cell_length_a 4.7908
_cell_length_b 4.7908
_cell_length_c 14.4167
_cell_angle_alpha 90.00
_cell_angle_beta 90.00
_cell_angle_gamma 90.00
loop_
_atom_site_label
_atom_site_fract_x
_atom_site_fract_y
_atom_site_fract_z
_atom_site_occupancy
Na1 0.0000 0.0000 0.0000 1
Dy1 0.0000 0.0000 0.3398 1
Tl1 0.0000 0.5000 0.1695 1
Tl2 0.0000 0.5000 0.5000 1
Tl3 0.5000 0.5000 0.0000 1
Tl4 0.5000 0.5000 0.3335 1